CaUFe2O6 after structural relaxation, computed with GGA+U.

Unit cell a=5.5266 b=5.5570 c=5.8520 alpha=90.10 beta=117.16 gamma=119.64
With the nearest neighbours (Å) after each atom.
Space group P1 (No. 1)
Unique sites:
Ca (0.0000, 0.0000, 0.0000) (multiplicity 1)  6 O 2.29-2.45
U (0.9808, 0.4895, 0.4671) (multiplicity 1)  6 O 2.07-2.15
Fe (0.5656, 0.2762, 0.8493) (multiplicity 1)  4 O 2.04-2.18
Fe (0.5918, 0.8091, 0.3804) (multiplicity 1)  5 O 2.04-2.27
O (0.0961, 0.2124, 0.6668) (multiplicity 1)  1 U 2.11, 2 Fe 2.14-2.27
O (0.1089, 0.4297, 0.2013) (multiplicity 1)  1 U 2.07, 1 Fe 2.13
O (0.4621, 0.8808, 0.6593) (multiplicity 1)  2 Fe 2.14-2.16, 1 U 2.15
O (0.5217, 0.1065, 0.1745) (multiplicity 1)  2 Fe 2.13-2.18, 1 U 2.14, 1 Ca 2.31
O (0.7812, 0.6887, 0.2101) (multiplicity 1)  1 Fe 2.04, 1 U 2.10
O (0.7922, 0.5595, 0.6821) (multiplicity 1)  1 Fe 2.04, 1 U 2.10

Output
* calculated volume: 13.28 Å³ per atom
* VASP energy: -7.868 eV/atom